[1]
# LaDyErTm PBE relaxed
data_LaDyErTm
_chemical_formula_sum 'La3 Dy3 Er3 Tm3'
_cell_length_a 3.5803
_cell_length_b 3.5803
_cell_length_c 34.8570
_cell_angle_alpha 90.00
_cell_angle_beta 90.00
_cell_angle_gamma 120.00
_symmetry_space_group_name_H-M 'R 3 m'
_symmetry_Int_Tables_number 160
_symmetry_space_group_name_Hall 'R 3 -2"'
loop_
_atom_site_label
_atom_site_fract_x
_atom_site_fract_y
_atom_site_fract_z
La1 0.0000 0.0000 0.0000
Dy1 0.0000 0.0000 0.4211
Er1 0.0000 0.0000 0.2483
Tm1 0.0000 0.0000 0.8353
# * crystal system: trigonal
# * offset from the most stable computed form: 0 meV per atom
# * calculated formation energy: 28 meV per atom
# * calculated total energy: -4.613 eV per atom

=====

[2]
# La6DyErTm2 PBE relaxed
data_La6DyErTm2
_chemical_formula_sum 'La24 Dy4 Er4 Tm8'
_cell_length_a 9.3158
_cell_length_b 15.4222
_cell_length_c 9.7511
_cell_angle_alpha 90.00
_cell_angle_beta 98.34
_cell_angle_gamma 90.00
_symmetry_space_group_name_H-M 'C 1 2/c 1'
_symmetry_Int_Tables_number 15
_symmetry_space_group_name_Hall '-C 2yc'
loop_
_atom_site_label
_atom_site_fract_x
_atom_site_fract_y
_atom_site_fract_z
La1 0.0645 0.1738 0.4475
La2 0.0971 0.3929 0.6198
La3 0.2181 0.2211 0.8070
Dy1 0.0000 0.0271 0.7500
Er1 0.0000 0.4123 0.2500
Tm1 0.2450 0.0465 0.0467
# * crystal system: monoclinic
# * calculated formation energy: 109 meV per atom
# * calculated total energy: -4.658 eV per atom

=====

[3]
# La2Dy3ErTm6 PBE relaxed
data_La2Dy3ErTm6
_chemical_formula_sum 'La4 Dy6 Er2 Tm12'
_cell_length_a 6.1511
_cell_length_b 10.6494
_cell_length_c 11.7036
_cell_angle_alpha 90.00
_cell_angle_beta 100.06
_cell_angle_gamma 90.00
_symmetry_space_group_name_H-M 'C 1 2/m 1'
_symmetry_Int_Tables_number 12
_symmetry_space_group_name_Hall '-C 2y'
loop_
_atom_site_label
_atom_site_fract_x
_atom_site_fract_y
_atom_site_fract_z
La1 0.0000 0.1663 0.0000
Dy1 0.0000 0.0000 0.5000
Dy2 0.0000 0.3334 0.5000
Er1 0.0000 0.5000 0.0000
Tm1 0.2470 0.5000 0.7458
Tm2 0.2491 0.1660 0.7461
# * crystal system: monoclinic
# * calculated formation energy: 25 meV per atom
# * calculated total energy: -4.562 eV per atom

=====

[4]
# La5DyErTm2 PBE relaxed
data_La5DyErTm2
_chemical_formula_sum 'La20 Dy4 Er4 Tm8'
_cell_length_a 5.4834
_cell_length_b 21.6537
_cell_length_c 10.6344
_cell_angle_alpha 90.00
_cell_angle_beta 90.00
_cell_angle_gamma 90.00
_symmetry_space_group_name_H-M 'C m c 21'
_symmetry_Int_Tables_number 36
_symmetry_space_group_name_Hall 'C 2c -2'
loop_
_atom_site_label
_atom_site_fract_x
_atom_site_fract_y
_atom_site_fract_z
La1 0.0000 0.9998 0.0000
La2 0.0000 0.1235 0.2504
La3 0.0000 0.2192 0.9415
La4 0.0000 0.2205 0.5619
La5 0.0000 0.4983 0.2500
Dy1 0.0000 0.2905 0.2514
Er1 0.0000 0.1002 0.7500
Tm1 0.0000 0.3865 0.9996
Tm2 0.0000 0.3875 0.5007
# * crystal system: orthorhombic
# * calculated formation energy: 130 meV per atom
# * calculated total energy: -4.619 eV per atom